1.
TcSnAu3 | the Alexandria database | GGA-PBE | optimized geometry; space-group type = Pm-3m, No. 221; formation energy from the elements = 5.9 eV per formula unit; ρ = 9947 kg/m3
1.0
-2.3389 -0.1842 -4.5594
0.3126 -5.1179 0.0464
-4.5524 -0.2568 2.3457
Tc Au Sn
1 3 1
direct
0.5000 0.5000 0.5000
0.0000 0.0000 0.5000
0.5000 0.0000 0.0000
0.0000 0.5000 0.0000
0.0000 0.0000 0.0000



2.
InGa2Hg9 | the Alexandria database | GGA-PBE | optimized geometry; space-group type = P4/mmm, No. 123; formation energy from the elements = 0.6 eV per formula unit; ρ = 11184 kg/m3
1.0
-0.5027 -4.8452 -1.9178
4.3098 0.7022 -2.9039
6.2549 -3.9452 8.3300
Hg Ga In
9 2 1
direct
0.5000 0.0000 0.8258
0.0000 0.5000 0.5000
0.5000 0.5000 0.6652
0.5000 0.5000 0.3348
0.0000 0.5000 0.1741
0.5000 0.5000 0.0000
0.0000 0.5000 0.8259
0.5000 0.0000 0.1742
0.5000 0.0000 0.5000
0.0000 0.0000 0.6560
0.0000 0.0000 0.3440
0.0000 0.0000 0.0000



3.
AcLa5Sm | the Alexandria database | GGA-PBE | optimized geometry; space-group type = C2/c, No. 15; formation energy from the elements = 0.5 eV per formula unit; ρ = 6700 kg/m3
1.0
6.6546 0.2168 -1.6853
-1.5776 6.4685 -1.6853
-0.3096 -0.4077 12.4523
La Ac Sm
10 2 2
direct
0.3862 0.0253 0.8311
0.6138 0.9747 0.1689
0.5327 0.2431 0.4646
0.8364 0.1636 0.7500
0.2431 0.5327 0.9646
0.7569 0.4673 0.0354
0.1636 0.8364 0.2500
0.9747 0.6138 0.6689
0.4673 0.7569 0.5354
0.0253 0.3862 0.3311
0.0000 0.0000 0.0000
0.0000 0.0000 0.5000
0.5038 0.4962 0.2500
0.4962 0.5038 0.7500



4.
Rb2Pu2Cl7 | the Alexandria database | GGA-PBE | optimized geometry; space-group type = Cmmm, No. 65; formation energy (no corrections) = -186.4 kJ/mol of atoms; ρ = 4150 kg/m3
1.0
-6.6657 -1.9346 0.2029
0.7247 -3.2100 -6.8547
2.7516 -5.6575 2.9387
Cl Pu Rb
7 2 2
direct
0.4998 0.2188 0.5002
0.4997 0.2304 0.0002
0.5002 0.7812 0.4998
0.0000 0.0000 0.0000
0.5003 0.7696 0.9998
0.9998 0.2304 0.5003
0.0002 0.7696 0.4997
0.7215 0.0000 0.2785
0.2785 0.0000 0.7215
0.2372 0.5000 0.2372
0.7628 0.5000 0.7628



5.
Th2CdSb | the Alexandria database | GGA-PBE | optimized geometry; space-group type = P4/mmm, No. 123; formation energy (no corrections) = -41.6 kJ/mol of atoms; ρ = 10110 kg/m3
1.0
-3.7000 -1.4852 0.6173
1.0827 -3.4451 -1.7987
2.0771 -2.5916 6.2141
Th Sb Cd
2 1 1
direct
0.0000 0.0000 0.2464
0.0000 0.0000 0.7536
0.5000 0.5000 0.0000
0.5000 0.5000 0.5000



6.
PmSm5Ho3 | the Alexandria database | GGA-PBE | optimized geometry; space-group type = C2/c, No. 15; formation energy from the elements = 1.6 eV per formula unit; ρ = 7693 kg/m3
1.0
6.7443 0.0000 0.0000
-3.3722 10.2848 -5.4980
0.0000 -4.0420 10.8219
Ho Sm Pm
6 10 2
direct
0.0000 0.0000 0.0000
0.1594 0.5203 0.8915
0.0000 0.0000 0.5000
0.8406 0.4797 0.1085
0.3610 0.5203 0.3915
0.6390 0.4797 0.6085
0.6860 0.0000 0.2500
0.0792 0.3438 0.4947
0.3931 0.7783 0.3292
0.2646 0.3438 0.9947
0.9208 0.6562 0.5053
0.7354 0.6562 0.0053
0.3140 0.0000 0.7500
0.3852 0.7783 0.8292
0.6148 0.2217 0.1708
0.6069 0.2217 0.6708
0.2402 0.0000 0.2500
0.7598 0.0000 0.7500



7.
NaTlSi2 | the Alexandria database | GGA-PBE | optimized geometry; space-group type = I-42d, No. 122; formation energy (no corrections) = 53.7 kJ/mol of atoms; ρ = 5145 kg/m3
1.0
8.0926 0.0000 0.0000
0.0000 8.0926 0.0000
4.0463 4.0463 2.7949
Si Na Tl
4 2 2
direct
0.8750 0.9065 0.7500
0.3750 0.3435 0.7500
0.6565 0.1250 0.2500
0.0935 0.6250 0.2500
0.2500 0.7500 0.5000
0.5000 0.5000 0.0000
0.0000 0.0000 0.0000
0.7500 0.2500 0.5000



8.
SrHo4TmS8 | the Alexandria database | GGA-PBE | optimized geometry; space-group type = R3m, No. 160; formation energy (no corrections) = -191.8 kJ/mol of atoms; ρ = 5158 kg/m3
1.0
-3.2646 6.5375 3.5441
-5.6718 4.3204 -3.8886
-7.6927 -0.1761 2.5440
S Ho Sr Tm
8 4 1 1
direct
0.2341 0.2341 0.7380
0.7591 0.7591 0.2554
0.2265 0.7591 0.2554
0.7591 0.2265 0.2554
0.7574 0.7574 0.7278
0.2341 0.7937 0.7380
0.7937 0.2341 0.7380
0.2358 0.2358 0.2927
0.4943 0.0019 0.5019
0.6248 0.6248 0.1255
0.0019 0.0019 0.5019
0.0019 0.4943 0.5019
0.3754 0.3754 0.8739
0.0019 0.0019 0.9943



Total DFT energy (no corrections) / eV/atom: -3.661, -0.911, -4.709, -5.889, -5.401, -4.499, -3.076, -6.094